Entry 1:
Computed, not measured: a relaxed Pm2Pr5Nd crystal at the PBE level of DFT.

Cell: 5.232 7.379 14.762 Å, 90.00 90.00 90.00°
Sites, in units of the cell vectors:
1 Pm 0.500 0.250 0.125
2 Pr 0.500 0.250 0.375
3 Pr 0.000 0.500 0.500
4 Pr 0.000 0.000 0.000
5 Pr 0.000 0.000 0.250
6 Pm 0.500 0.250 0.625
7 Nd 0.000 0.500 0.000
8 Pr 0.500 0.750 0.625
9 Pr 0.500 0.250 0.875
10 Nd 0.000 0.000 0.500
11 Pr 0.000 0.000 0.750
12 Pm 0.500 0.750 0.375
13 Pr 0.000 0.500 0.250
14 Pr 0.500 0.750 0.125
15 Pm 0.500 0.750 0.875
16 Pr 0.000 0.500 0.750

Entry 2:
Computed, not measured: a relaxed Pm4PrNd2 crystal at the PBE level of DFT.

Values from the calculation:
**Polymorph energy (0 for the lowest one)**: 0.000 eV per atom

Cell: 3.670 3.670 21.028 Å, 84.99 84.99 60.00°
Sites, in units of the cell vectors:
1 Nd 0.429 0.429 0.714
2 Pm 0.715 0.715 0.856
3 Pr 0.000 0.000 0.000
4 Pm 0.857 0.857 0.429
5 Nd 0.571 0.571 0.286
6 Pm 0.143 0.143 0.571
7 Pm 0.285 0.285 0.144

Entry 3:
Computed, not measured: a relaxed Pm2Pr3Nd crystal at the PBE level of DFT.

Values from the calculation:
**Polymorph energy (0 for the lowest one)**: 0.000 eV per atom

Cell: 7.381 6.393 13.293 Å, 71.29 46.05 73.28°
Sites, in units of the cell vectors:
1 Pm 0.334 0.750 0.583
2 Pr 0.167 0.750 0.917
3 Pr 0.500 0.750 0.250
4 Pm 0.667 0.750 0.917
5 Pm 0.666 0.250 0.417
6 Pr 0.166 0.250 0.417
7 Pm 0.333 0.250 0.083
8 Nd 0.000 0.750 0.250
9 Pr 0.833 0.250 0.083
10 Nd 0.000 0.250 0.750
11 Pr 0.500 0.250 0.750
12 Pr 0.834 0.750 0.583

Entry 4:
Computed, not measured: a relaxed Pm3Pr12Nd crystal at the PBE level of DFT.

Cell: 5.234 5.234 20.901 Å, 90.00 90.00 90.00°
Sites, in units of the cell vectors:
1 Pr 0.000 0.500 0.125
2 Pr 0.500 0.500 0.000
3 Pr 0.500 0.500 0.250
4 Pm 0.000 0.000 0.500
5 Pr 0.000 0.500 0.375
6 Pm 0.000 0.000 0.750
7 Pr 0.000 0.500 0.625
8 Pr 0.500 0.000 0.375
9 Pr 0.500 0.000 0.625
10 Pr 0.500 0.000 0.875
11 Nd 0.000 0.000 0.000
12 Pr 0.500 0.500 0.750
13 Pm 0.000 0.000 0.250
14 Pr 0.000 0.500 0.875
15 Pr 0.500 0.000 0.125
16 Pr 0.500 0.500 0.500

Number 1: E_form 0.01 eV per atom. Number 2: E_form 0.01 eV per atom. Number 3: E_form 0.01 eV per atom. Number 4: E_form 0.01 eV per atom.